# La3AlC

Crystalline La3AlC at its relaxed geometry (GGA-PBE, Alexandria via LeMat-Bulk).

Results
Total energy in eV for the cell shown: -28.700
Energy of formation in meV per atom: -190
Magnetization in Bohr magnetons per cell: 0.0
ΔE to the lowest computed polymorph in eV per atom: 0.0000
Crystal system: cubic

a b c (Å): 5.202 5.202 5.202
angles (deg): 90.00 90.00 90.00
Space group Pm-3m (No. 221)
Symmetry-distinct sites (fractional):
La (0.000, 0.000, 0.500) [3 per cell]
Al (0.500, 0.500, 0.500) [1 per cell]
C (0.000, 0.000, 0.000) [1 per cell]